[1]
First-principles (GGA-PBEsol) data for a relaxed Mg2ZnNi crystal, as listed in Alexandria.

Computed properties:
The spin magnetization comes out at 0.00 Bohr magnetons per cell. For the density, the calculation gives 4.823 g cm⁻³. The formation energy is -58 meV per atom. As for the total energy: -2.85 eV per atom.

Unit cell a=4.381 b=4.381 c=4.381 alpha=60.00 beta=60.00 gamma=60.00
Atoms (fractional coordinates):
1 Mg 0.000 0.000 0.000
2 Mg 0.250 0.250 0.250
3 Zn 0.500 0.500 0.500
4 Ni 0.750 0.750 0.750

[2]
First-principles (GGA-PBEsol) data for a relaxed GaFeI2O crystal, as listed in Alexandria.

Computed properties:
The spin magnetization comes out at 3.44 Bohr magnetons per cell. For the density, the calculation gives 5.894 g cm⁻³. The energy above the most stable polymorph in this dataset is 411.3 meV/atom. As for the total energy: -4.14 eV per atom.

Unit cell a=5.579 b=5.579 c=3.579 alpha=90.00 beta=90.00 gamma=90.00
Atoms (fractional coordinates):
1 Ga 0.000 0.000 0.000
2 Fe 0.500 0.500 0.500
3 I 0.000 0.500 0.000
4 I 0.500 0.000 0.000
5 O 0.000 0.000 0.500

[3]
First-principles (GGA-PBEsol) data for a relaxed SrRe2PdC crystal, as listed in Alexandria.

Computed properties:
The spin magnetization comes out at 0.00 Bohr magnetons per cell. For the density, the calculation gives 12.117 g cm⁻³. The formation energy is 548 meV per atom. As for the total energy: -8.27 eV per atom.

Unit cell a=4.111 b=4.111 c=4.691 alpha=90.00 beta=90.00 gamma=90.00
Atoms (fractional coordinates):
1 Sr 0.000 0.000 0.000
2 Re 0.000 0.500 0.500
3 Re 0.500 0.000 0.500
4 Pd 0.500 0.500 0.000
5 C 0.500 0.500 0.500

[4]
First-principles (GGA-PBEsol) data for a relaxed Cu3Br crystal, as listed in Alexandria.

Computed properties:
The spin magnetization comes out at 0.00 Bohr magnetons per cell. For the density, the calculation gives 7.737 g cm⁻³. The energy above the most stable polymorph in this dataset is 291.8 meV/atom. As for the total energy: -3.18 eV per atom.

Unit cell a=4.828 b=4.828 c=4.828 alpha=115.81 beta=115.81 gamma=115.81
Atoms (fractional coordinates):
1 Cu 0.000 0.500 0.500
2 Cu 0.500 0.000 0.500
3 Cu 0.500 0.500 0.000
4 Br 0.000 0.000 0.000

[5]
First-principles (GGA-PBEsol) data for a relaxed Li5V5O9F crystal, as listed in Alexandria.

Computed properties:
The spin magnetization comes out at 0.00 Bohr magnetons per cell. For the density, the calculation gives 4.505 g cm⁻³. As for the total energy: -7.68 eV per atom.

Unit cell a=4.817 b=5.243 c=7.330 alpha=101.50 beta=109.12 gamma=98.57
Atoms (fractional coordinates):
1 Li 0.000 0.000 0.000
2 Li 0.172 0.987 0.401
3 Li 0.408 0.014 0.805
4 Li 0.592 0.993 0.193
5 Li 0.807 0.977 0.608
6 V 0.045 0.500 0.503
7 V 0.220 0.501 0.889
8 V 0.347 0.508 0.297
9 V 0.552 0.507 0.710
10 V 0.834 0.501 0.115
11 O 0.181 0.234 0.646
12 O 0.200 0.753 0.149
13 O 0.403 0.277 0.059
14 O 0.408 0.768 0.555
15 O 0.602 0.752 0.954
16 O 0.782 0.711 0.347
17 O 0.802 0.278 0.856
18 O 0.980 0.711 0.742
19 O 0.987 0.235 0.254
20 F 0.597 0.260 0.454

[6]
First-principles (GGA-PBEsol) data for a relaxed AlRh crystal, as listed in Alexandria.

Computed properties:
The spin magnetization comes out at 0.00 Bohr magnetons per cell. For the density, the calculation gives 8.232 g cm⁻³. The formation energy is -1090 meV per atom. As for the total energy: -7.20 eV per atom.

Unit cell a=2.970 b=2.970 c=2.970 alpha=90.00 beta=90.00 gamma=90.00
Atoms (fractional coordinates):
1 Al 0.000 0.000 0.000
2 Rh 0.500 0.500 0.500

[7]
First-principles (GGA-PBEsol) data for a relaxed CuPbBr2 crystal, as listed in Alexandria.

Computed properties:
The spin magnetization comes out at 0.00 Bohr magnetons per cell. For the density, the calculation gives 7.255 g cm⁻³. The energy above the most stable polymorph in this dataset is 35.6 meV/atom. As for the total energy: -3.24 eV per atom.

Unit cell a=3.655 b=3.655 c=8.608 alpha=90.00 beta=90.00 gamma=121.02
Atoms (fractional coordinates):
1 Cu 0.000 0.000 0.000
2 Pb 0.000 0.000 0.500
3 Br 0.500 0.500 0.196
4 Br 0.500 0.500 0.804

[8]
First-principles (GGA-PBEsol) data for a relaxed TlCoO3 crystal, as listed in Alexandria.

Computed properties:
The spin magnetization comes out at 0.00 Bohr magnetons per cell. For the density, the calculation gives 9.068 g cm⁻³. As for the total energy: -6.06 eV per atom.

Unit cell a=5.843 b=5.843 c=5.843 alpha=51.85 beta=51.85 gamma=51.85
Atoms (fractional coordinates):
1 Tl 0.128 0.128 0.128
2 Tl 0.872 0.872 0.872
3 Co 0.338 0.338 0.338
4 Co 0.662 0.662 0.662
5 O 0.058 0.680 0.469
6 O 0.320 0.531 0.942
7 O 0.469 0.058 0.680
8 O 0.531 0.942 0.320
9 O 0.680 0.469 0.058
10 O 0.942 0.320 0.531

[9]
First-principles (GGA-PBEsol) data for a relaxed In3Re crystal, as listed in Alexandria.

Computed properties:
The spin magnetization comes out at 0.00 Bohr magnetons per cell. For the density, the calculation gives 11.383 g cm⁻³. The energy above the most stable polymorph in this dataset is 0.0 meV/atom. The formation energy is 541 meV per atom. As for the total energy: -5.03 eV per atom.

Unit cell a=5.421 b=5.421 c=5.421 alpha=140.72 beta=128.85 gamma=66.34
Atoms (fractional coordinates):
1 In 0.000 0.000 0.000
2 In 0.260 0.760 0.500
3 In 0.740 0.240 0.500
4 Re 0.500 0.500 0.000

[10]
First-principles (GGA-PBEsol) data for a relaxed Y2ScRu crystal, as listed in Alexandria.

Computed properties:
The spin magnetization comes out at 0.00 Bohr magnetons per cell. For the density, the calculation gives 5.894 g cm⁻³. The energy above the most stable polymorph in this dataset is 70.5 meV/atom. The formation energy is -157 meV per atom. As for the total energy: -7.76 eV per atom.

Unit cell a=6.019 b=6.019 c=6.019 alpha=146.19 beta=130.59 gamma=61.21
Atoms (fractional coordinates):
1 Y 0.201 0.201 0.000
2 Y 0.799 0.799 0.000
3 Sc 0.500 0.000 0.500
4 Ru 0.000 0.500 0.500

[11]
First-principles (GGA-PBEsol) data for a relaxed SrMoPt crystal, as listed in Alexandria.

Computed properties:
The spin magnetization comes out at 0.00 Bohr magnetons per cell. For the density, the calculation gives 10.623 g cm⁻³. The formation energy is 685 meV per atom. As for the total energy: -6.17 eV per atom.

Unit cell a=3.055 b=3.055 c=7.322 alpha=90.00 beta=90.00 gamma=120.00
Atoms (fractional coordinates):
1 Sr 0.000 0.000 0.000
2 Mo 0.333 0.667 0.628
3 Pt 0.667 0.333 0.359

[12]
First-principles (GGA-PBEsol) data for a relaxed MnBiF2 crystal, as listed in Alexandria.

Computed properties:
The spin magnetization comes out at 4.98 Bohr magnetons per cell. For the density, the calculation gives 6.044 g cm⁻³. As for the total energy: -5.93 eV per atom.

Unit cell a=9.117 b=9.117 c=9.117 alpha=20.71 beta=20.71 gamma=20.71
Atoms (fractional coordinates):
1 Mn 0.000 0.000 0.000
2 Bi 0.500 0.500 0.500
3 F 0.369 0.369 0.369
4 F 0.631 0.631 0.631